Entry 1:
Material: SbOsN2F
Method: DFT, PBE-GGA
State: relaxed

Output
magnetic moment	0.00	μB/f.u.
space-group type	No. 123
total DFT energy (no corrections)	-31.60	eV/cell
formation energy without anion corrections	2.28	eV per formula unit
theoretical density	8.9	g/cm3
energy above the most stable polymorph in this dataset	0.0	meV per atom

Lattice parameters (Å, degrees): 3.8932 3.8932 4.4365 90.00 90.00 90.00
With the nearest neighbours (Å) after each atom.
Element x y z (fractional)
N 0.5000 0.0000 0.0000  2 Os 1.95
F 0.0000 0.0000 0.5000  2 Os 2.22
N 0.0000 0.5000 0.0000  2 Os 1.95
Sb 0.5000 0.5000 0.5000  4 F 2.75, 8 N 2.95
Os 0.0000 0.0000 0.0000  4 N 1.95

***

Entry 2:
Material: Li2P2Au
Method: DFT, PBE-GGA
State: relaxed

Output
magnetic moment	0.00	μB/f.u.
space-group type	No. 139
total DFT energy (no corrections)	-18.38	eV/cell
theoretical density	5.6	g/cm3
energy above the most stable polymorph in this dataset	354.5	meV per atom

Lattice parameters (Å, degrees): 3.9665 3.9665 5.8239 70.09 70.09 90.00
With the nearest neighbours (Å) after each atom.
Element x y z (fractional)
P 0.3982 0.3982 0.2036  1 P 2.08
Li 0.7500 0.2500 0.5000  4 P 2.49
Li 0.2500 0.7500 0.5000  4 P 2.49
P 0.6018 0.6018 0.7964  1 P 2.08
Au 0.0000 0.0000 0.0000  8 P 2.99, 8 Li 3.23

***

Entry 3:
Material: BeCd2Ag
Method: DFT, PBE-GGA
State: relaxed

Output
magnetic moment	0.00	μB/f.u.
space-group type	No. 166
total DFT energy (no corrections)	-7.31	eV/cell
theoretical density	8.1	g/cm3

Lattice parameters (Å, degrees): 9.0307 9.0307 9.0307 19.32 19.32 19.32
With the nearest neighbours (Å) after each atom.
Element x y z (fractional)
Ag 0.2500 0.2500 0.2500  6 Cd 3.01, 6 Ag 3.03
Cd 0.4910 0.4910 0.4910  3 Be 2.64
Cd 0.0090 0.0090 0.0090  3 Be 2.64
Be 0.7500 0.7500 0.7500  6 Cd 2.64

***

Entry 4:
Material: Tb4CdIn2Pd
Method: DFT, PBE-GGA
State: relaxed

Output
magnetic moment	0.00	μB/f.u.
space-group type	No. 166
total DFT energy (no corrections)	-34.27	eV/cell
theoretical density	8.8	g/cm3

Lattice parameters (Å, degrees): 5.2679 5.2679 9.0603 73.10 73.10 60.00
With the nearest neighbours (Å) after each atom.
Element x y z (fractional)
Tb 0.8699 0.8699 0.3902  3 Pd 3.18, 4 In 3.20-3.32, 1 Cd 3.33
In 0.7448 0.7448 0.7657  8 Tb 3.13-3.32
In 0.2552 0.2552 0.2343  8 Tb 3.13-3.32
Tb 0.1301 0.1301 0.6098  3 Pd 3.18, 4 In 3.20-3.32, 1 Cd 3.33
Tb 0.6179 0.6179 0.1462  1 Pd 3.02, 4 In 3.13-3.25, 3 Cd 3.29
Tb 0.3821 0.3821 0.8538  1 Pd 3.02, 4 In 3.13-3.25, 3 Cd 3.29
Pd 0.5000 0.5000 0.5000  8 Tb 3.02-3.18
Cd 0.0000 0.0000 0.0000  8 Tb 3.29-3.33, 6 In 3.64

***

Entry 5:
Material: AcPm3Tl
Method: DFT, PBE-GGA
State: relaxed

Output
magnetic moment	0.00	μB/f.u.
space-group type	No. 62
total DFT energy (no corrections)	-84.35	eV/cell
theoretical density	8.2	g/cm3
energy above the most stable polymorph in this dataset	27.9	meV per atom

Lattice parameters (Å, degrees): 5.6713 10.8369 11.4247 90.00 90.00 90.00
With the nearest neighbours (Å) after each atom.
Element x y z (fractional)
Pm 0.7500 0.6009 0.6761  2 Pm 3.18-3.43, 2 Tl 3.40
Tl 0.2500 0.0714 0.6620  7 Pm 3.09-3.40
Pm 0.7500 0.9100 0.6127  3 Tl 3.15-3.38, 2 Pm 3.18-3.43
Pm 0.7500 0.1382 0.1544  2 Tl 3.09-3.15
Ac 0.2500 0.7242 0.5138  6 Pm 3.55-3.66
Tl 0.7500 0.4286 0.1620  7 Pm 3.09-3.40
Pm 0.2500 0.8991 0.1761  2 Pm 3.18-3.43, 2 Tl 3.40
Ac 0.2500 0.2242 0.9862  6 Pm 3.55-3.66
Pm 0.2500 0.8618 0.8456  2 Tl 3.09-3.15
Pm 0.2500 0.3618 0.6544  2 Tl 3.09-3.15
Pm 0.7500 0.1009 0.8239  2 Pm 3.18-3.43, 2 Tl 3.40
Pm 0.7500 0.4100 0.8873  3 Tl 3.15-3.38, 2 Pm 3.18-3.43
Pm 0.2500 0.3991 0.3239  2 Pm 3.18-3.43, 2 Tl 3.40
Tl 0.2500 0.5714 0.8380  7 Pm 3.09-3.40
Pm 0.2500 0.5900 0.1127  3 Tl 3.15-3.38, 2 Pm 3.18-3.43
Tl 0.7500 0.9286 0.3380  7 Pm 3.09-3.40
Pm 0.2500 0.0900 0.3873  3 Tl 3.15-3.38, 2 Pm 3.18-3.43
Ac 0.7500 0.7758 0.0138  6 Pm 3.55-3.66
Ac 0.7500 0.2758 0.4862  6 Pm 3.55-3.66
Pm 0.7500 0.6382 0.3456  2 Tl 3.09-3.15

***

Entry 6:
Material: TcPAu2
Method: DFT, PBE-GGA
State: relaxed

Output
magnetic moment	0.00	μB/f.u.
space-group type	No. 10
total DFT energy (no corrections)	-20.67	eV/cell
theoretical density	12.8	g/cm3

Lattice parameters (Å, degrees): 4.6916 3.0640 4.7691 82.51 90.00 90.00
With the nearest neighbours (Å) after each atom.
Element x y z (fractional)
P 0.5000 0.5000 0.0000  2 Tc 2.38
Tc 0.5000 0.5000 0.5000  2 P 2.38
Au 0.0000 0.2119 0.2439  3 Au 2.61-2.81, 2 P 2.71, 2 Tc 2.84
Au 0.0000 0.7881 0.7561  3 Au 2.61-2.81, 2 P 2.71, 2 Tc 2.84

***

Entry 7:
Material: AlReAs2
Method: DFT, PBE-GGA
State: relaxed

Output
magnetic moment	0.00	μB/f.u.
space-group type	No. 44
total DFT energy (no corrections)	-24.10	eV/cell
theoretical density	9.4	g/cm3
energy above the most stable polymorph in this dataset	313.0	meV per atom

Lattice parameters (Å, degrees): 5.0904 5.0904 5.0904 142.47 125.49 68.06
With the nearest neighbours (Å) after each atom.
Element x y z (fractional)
Al 0.7559 0.2559 0.5000  6 As 2.61-2.85, 2 Re 2.78
As 0.9972 0.9972 0.0000  2 Al 2.61, 2 As 2.73, 4 Re 2.85
Re 0.4904 0.4904 0.0000  6 As 2.56-2.85, 2 Al 2.78
As 0.2565 0.7565 0.5000  2 Re 2.56, 2 As 2.73, 4 Al 2.85

***

Entry 8:
Material: CsCdSnBi2
Method: DFT, PBE-GGA
State: relaxed

Output
magnetic moment	0.00	μB/f.u.
space-group type	No. 119
total DFT energy (no corrections)	-14.55	eV/cell
theoretical density	6.7	g/cm3

Lattice parameters (Å, degrees): 5.2248 5.2248 7.9674 109.14 109.14 90.00
With the nearest neighbours (Å) after each atom.
Element x y z (fractional)
Bi 0.6307 0.6307 0.2614  2 Cd 3.11, 2 Sn 3.11
Bi 0.3693 0.3693 0.7386  2 Sn 3.11, 2 Cd 3.11
Cs 0.0000 0.0000 0.0000  8 Bi 4.13, 4 Sn 4.39, 4 Cd 4.39
Sn 0.7500 0.2500 0.5000  4 Bi 3.11
Cd 0.2500 0.7500 0.5000  4 Bi 3.11

***

Entry 9:
Material: CsGe2Ir
Method: DFT, PBE-GGA
State: relaxed

Output
magnetic moment	0.00	μB/f.u.
space-group type	No. 141
total DFT energy (no corrections)	-39.51	eV/cell
theoretical density	5.4	g/cm3
energy above the most stable polymorph in this dataset	0.0	meV per atom

Lattice parameters (Å, degrees): 6.7338 6.7338 7.9227 64.85 64.85 90.00
With the nearest neighbours (Å) after each atom.
Element x y z (fractional)
Cs 0.5000 0.5000 0.0000  8 Ge 4.08-4.09
Ge 0.3750 0.1247 0.7500  2 Ir 2.31
Cs 0.2500 0.7500 0.5000  8 Ge 4.08-4.09
Ge 0.8750 0.1253 0.7500  2 Ir 2.31
Ge 0.8747 0.6250 0.2500  2 Ir 2.31
Ge 0.8753 0.1250 0.2500  2 Ir 2.31
Ir 0.7500 0.2500 0.5000  4 Ge 2.31
Ir 0.0000 0.0000 0.0000  4 Ge 2.31

***

Entry 10:
Material: CeTmCoBr
Method: DFT, PBE-GGA
State: relaxed

Output
magnetic moment	0.49	μB/f.u.
space-group type	No. 160
total DFT energy (no corrections)	-22.09	eV/cell
formation energy without anion corrections	-2.91	eV per formula unit
theoretical density	7.5	g/cm3

Lattice parameters (Å, degrees): 3.8649 3.8648 7.9641 90.01 104.04 120.00
With the nearest neighbours (Å) after each atom.
Element x y z (fractional)
Co 0.3087 0.5522 0.8763  3 Ce 2.59, 3 Tm 2.71
Ce 0.0894 0.9427 0.0474  3 Co 2.59
Tm 0.5077 0.1517 0.6748  3 Co 2.71
Br 0.9720 0.3842 0.3712  3 Tm 3.22, 3 Ce 3.33

***

Entry 11:
Material: Rb2SrRu2O7
Method: DFT, PBE-GGA
State: relaxed

Output
magnetic moment	5.05	μB/f.u.
space-group type	No. 139
total DFT energy (no corrections)	-74.16	eV/cell
formation energy without anion corrections	-17.28	eV per formula unit
theoretical density	5.4	g/cm3

Lattice parameters (Å, degrees): 3.9862 3.9862 11.5335 80.05 80.05 90.01
With the nearest neighbours (Å) after each atom.
Element x y z (fractional)
O 0.5000 0.5000 0.0000  2 Ru 2.06
O 0.0837 0.5836 0.8327  2 Ru 2.00
O 0.4164 0.9163 0.1673  2 Ru 2.00
O 0.6753 0.6753 0.6496  1 Ru 1.86
Rb 0.8128 0.8128 0.3743  9 O 2.83-3.08
O 0.9163 0.4164 0.1673  2 Ru 2.00
O 0.5836 0.0837 0.8327  2 Ru 2.00
Ru 0.4080 0.4080 0.1840  6 O 1.86-2.06
Rb 0.1872 0.1872 0.6257  9 O 2.83-3.08
O 0.3247 0.3247 0.3504  1 Ru 1.86
Sr 0.0000 0.0000 0.0000  12 O 2.73-2.82
Ru 0.5920 0.5920 0.8160  6 O 1.86-2.06

***

Entry 12:
Material: RbBaCa2Pd
Method: DFT, PBE-GGA
State: relaxed

Output
magnetic moment	0.00	μB/f.u.
space-group type	No. 123
total DFT energy (no corrections)	-13.14	eV/cell
theoretical density	3.0	g/cm3
energy above the most stable polymorph in this dataset	0.0	meV per atom

Lattice parameters (Å, degrees): 5.9471 5.9471 6.3185 90.00 90.00 90.00
With the nearest neighbours (Å) after each atom.
Element x y z (fractional)
Pd 0.0000 0.0000 0.0000  4 Ca 2.97, 2 Ba 3.16
Ba 0.0000 0.0000 0.5000  2 Pd 3.16
Ca 0.5000 0.0000 0.0000  2 Pd 2.97
Ca 0.0000 0.5000 0.0000  2 Pd 2.97
Rb 0.5000 0.5000 0.5000  4 Ba 4.21, 8 Ca 4.34

***

N(E_F) for the records above, in order: 2.8; 3.4; 1.5; 4.7; 21.6; 3.1; 2.4; 2.5; 0.0; 5.2; 5.2; 4.1 states/eV/cell